Entry 1:
The following is a DFT calculation (GGA-PBE) of a geometry-optimized Pt2Pb structure.

abc: 5.898 5.898 5.898
angles: 127.07 127.07 78.14
Positions (direct):
1 Pt 0.183 0.317 0.500
2 Pt 0.817 0.683 0.500
3 Pt 0.683 0.183 0.866
4 Pt 0.317 0.817 0.134
5 Pb 0.750 0.750 0.000
6 Pb 0.250 0.250 0.000

D(E_F) = 0.694 states/eV per atom
symmetry = I4/mcm (140)
volume = 127 Å³ per cell
DFT formation energy = -11 kJ per mole of atoms


Entry 2:
The following is a DFT calculation (GGA-PBE) of a geometry-optimized Ca2Ga5Cu2Rh structure.

abc: 4.043 9.391 9.391
angles: 90.00 90.00 90.00
Positions (direct):
1 Cu 0.000 0.607 0.893
2 Cu 0.000 0.893 0.393
3 Cu 0.000 0.107 0.607
4 Cu 0.000 0.393 0.107
5 Ga 0.500 0.551 0.697
6 Ga 0.500 0.803 0.949
7 Ga 0.500 0.449 0.303
8 Ga 0.500 0.697 0.449
9 Ga 0.500 0.949 0.197
10 Ga 0.500 0.051 0.803
11 Ga 0.500 0.000 0.500
12 Ga 0.500 0.197 0.051
13 Ga 0.500 0.500 0.000
14 Ga 0.500 0.303 0.551
15 Rh 0.000 0.500 0.500
16 Rh 0.000 0.000 0.000
17 Ca 0.000 0.313 0.813
18 Ca 0.000 0.187 0.313
19 Ca 0.000 0.687 0.187
20 Ca 0.000 0.813 0.687

D(E_F) = 0.419 states/eV per atom
symmetry = P4/mbm (127)
volume = 357 Å³ per cell
DFT formation energy = -30 kJ per mole of atoms


Entry 3:
The following is a DFT calculation (GGA-PBE) of a geometry-optimized Pr3CdPt8 structure.

abc: 5.497 5.497 9.537
angles: 73.25 73.25 60.00
Positions (direct):
1 Pt 0.437 0.437 0.185
2 Pt 0.688 0.688 0.936
3 Pt 0.941 0.437 0.185
4 Pt 0.188 0.188 0.436
5 Pt 0.937 0.937 0.688
6 Pt 0.437 0.937 0.688
7 Pt 0.937 0.437 0.688
8 Pt 0.437 0.941 0.185
9 Pr 0.993 0.993 0.021
10 Pr 0.377 0.377 0.868
11 Pr 0.506 0.506 0.483
12 Cd 0.871 0.871 0.387

D(E_F) = 0.486 states/eV per atom
symmetry = R3m (160)
volume = 235 Å³ per cell
DFT formation energy = -90 kJ per mole of atoms


Entry 4:
The following is a DFT calculation (GGA-PBE) of a geometry-optimized Cd4HgPd7 structure.

abc: 5.045 9.053 5.789
angles: 83.23 64.17 73.82
Positions (direct):
1 Pd 0.794 0.918 0.495
2 Pd 0.654 0.466 0.227
3 Pd 0.346 0.534 0.773
4 Pd 0.964 0.379 0.694
5 Pd 0.500 0.000 0.000
6 Pd 0.036 0.621 0.306
7 Pd 0.206 0.082 0.505
8 Cd 0.267 0.314 0.152
9 Cd 0.408 0.771 0.414
10 Cd 0.733 0.686 0.848
11 Cd 0.592 0.229 0.586
12 Hg 0.000 0.000 0.000

D(E_F) = 0.470 states/eV per atom
symmetry = C2/m (12)
volume = 229 Å³ per cell
DFT formation energy = -12 kJ per mole of atoms


Entry 5:
The following is a DFT calculation (GGA-PBE) of a geometry-optimized NaZnCN2 structure.

abc: 6.239 4.862 6.026
angles: 90.72 90.00 90.00
Positions (direct):
1 Na 0.123 0.500 0.750
2 Na 0.877 0.500 0.250
3 Zn 0.637 0.000 0.750
4 Zn 0.363 0.000 0.250
5 N 0.136 0.821 0.455
6 N 0.864 0.821 0.955
7 N 0.864 0.179 0.545
8 N 0.136 0.179 0.045
9 C 0.000 0.000 0.000
10 C 0.000 0.000 0.500

formation energy without anion corrections = 0.0564 eV/atom
D(E_F) = 0.226 states/eV per atom
symmetry = P2/c (13)
volume = 183 Å³ per cell


Entry 6:
The following is a DFT calculation (GGA-PBE) of a geometry-optimized KMgP2 structure.

abc: 5.339 5.339 3.011
angles: 90.00 90.00 107.84
Positions (direct):
1 Mg 0.000 0.500 0.500
2 K 0.500 0.000 0.500
3 P 0.000 0.000 0.000
4 P 0.500 0.500 0.000

D(E_F) = 0.311 states/eV per atom
symmetry = Cmmm (65)
volume = 82 Å³ per cell
DFT formation energy = 16 kJ per mole of atoms


Entry 7:
The following is a DFT calculation (GGA-PBE) of a geometry-optimized Be2PBr structure.

abc: 4.837 4.837 6.990
angles: 90.00 90.00 134.92
Positions (direct):
1 P 0.500 0.500 0.911
2 Br 0.000 0.000 0.385
3 Be 0.000 0.000 0.005
4 Be 0.500 0.500 0.199

formation energy without anion corrections = -0.0535 eV/atom
energy relative to the lowest polymorph listed for this composition = 1.39 eV/f.u.
D(E_F) = 0.000 states/eV per atom
symmetry = Cmm2 (35)
volume = 116 Å³ per cell


Entry 8:
The following is a DFT calculation (GGA-PBE) of a geometry-optimized SbSeCl structure.

abc: 4.038 4.038 13.947
angles: 89.90 98.42 119.99
Positions (direct):
1 Sb 0.839 0.917 0.756
2 Sb 0.161 0.083 0.244
3 Cl 0.423 0.211 0.634
4 Cl 0.577 0.789 0.366
5 Se 0.752 0.378 0.130
6 Se 0.248 0.622 0.870

formation energy without anion corrections = -0.5258 eV/atom
symmetry = C2/m (12)
volume = 194 Å³ per cell


The lowest volume belongs to which entry?
KMgP2